Record 1
Entry from the Alexandria database: an optimized crystal structure of NpAuIO6 (GGA-PBE).

a b c (Å): 5.6830 5.6830 9.9549
angles (deg): 90.00 90.00 120.00
Closest atoms and distances in Å follow each position.
Element x y z (fractional)
O: 0.3651 0.9990 0.6407  1 Np 2.11, 1 I 2.12
O: 0.6340 0.6349 0.6407  1 Np 2.11, 1 I 2.12
O: 0.3651 0.3660 0.8593  1 Np 2.11, 1 I 2.12
O: 0.0010 0.6349 0.8593  1 Np 2.11, 1 I 2.12
O: 0.3660 0.0010 0.1407  1 Np 2.11, 1 I 2.12
O: 0.6340 0.9990 0.8593  1 Np 2.11, 1 I 2.12
Au: 0.0000 0.0000 0.0000  6 O 2.51
Np: 0.3333 0.6667 0.7500  6 O 2.11
Au: 0.0000 0.0000 0.5000  6 O 2.51
I: 0.6667 0.3333 0.7500  6 O 2.12
O: 0.9990 0.3651 0.1407  1 Np 2.11, 1 I 2.12
O: 0.9990 0.6340 0.3593  1 Np 2.11, 1 I 2.12
O: 0.0010 0.3660 0.6407  1 Np 2.11, 1 I 2.12
I: 0.3333 0.6667 0.2500  6 O 2.12
O: 0.6349 0.0010 0.3593  1 Np 2.11, 1 I 2.12
O: 0.6349 0.6340 0.1407  1 Np 2.11, 1 I 2.12
Np: 0.6667 0.3333 0.2500  6 O 2.11
O: 0.3660 0.3651 0.3593  1 Np 2.11, 1 I 2.12

Record 2
Entry from the Alexandria database: an optimized crystal structure of AuI2O2 (GGA-PBE).

Output
- D(E_F) (states/eV/cell) = 4.311

a b c (Å): 4.2093 4.2093 7.6104
angles (deg): 90.00 90.00 90.00
Closest atoms and distances in Å follow each position.
Element x y z (fractional)
I: 0.5000 0.5000 0.5000  4 I 2.98
O: 0.5000 0.0000 0.0000  2 Au 2.10
Au: 0.0000 0.0000 0.0000  4 O 2.10
O: 0.0000 0.5000 0.0000  2 Au 2.10
I: 0.0000 0.0000 0.5000  4 I 2.98

Record 3
Entry from the Alexandria database: an optimized crystal structure of AuIO4 (GGA-PBE).

Output
- D(E_F) (states/eV/cell) = 4.546

a b c (Å): 4.8954 5.7759 5.9532
angles (deg): 90.00 90.00 90.00
Closest atoms and distances in Å follow each position.
Element x y z (fractional)
I: 0.5000 0.0000 0.3302  2 O 1.85
O: 0.2574 0.8722 0.1270  1 I 1.85
I: 0.0000 0.0000 0.8302  2 O 1.85
Au: 0.5000 0.5000 0.6469  4 O 2.15-2.19
O: 0.2230 0.3289 0.8845  2 Au 2.15-2.19, 1 I 2.21
O: 0.7770 0.6711 0.8845  2 Au 2.15-2.19, 1 I 2.21
O: 0.7230 0.6711 0.3845  2 Au 2.15-2.19, 1 I 2.21
O: 0.7574 0.1278 0.6270  1 I 1.85
Au: 0.0000 0.5000 0.1469  4 O 2.15-2.19
O: 0.2426 0.8722 0.6270  1 I 1.85
O: 0.7426 0.1278 0.1270  1 I 1.85
O: 0.2770 0.3289 0.3845  2 Au 2.15-2.19, 1 I 2.21

Record 4
Entry from the Alexandria database: an optimized crystal structure of AuIO3 (GGA-PBE).

Output
- D(E_F) (states/eV/cell) = 0.275

a b c (Å): 4.1073 4.1073 4.1073
angles (deg): 90.00 90.00 90.00
Closest atoms and distances in Å follow each position.
Element x y z (fractional)
O: 0.5000 0.0000 0.0000  2 I 2.05
O: 0.0000 0.5000 0.0000  2 I 2.05
Au: 0.5000 0.5000 0.5000  12 O 2.90
O: 0.0000 0.0000 0.5000  2 I 2.05
I: 0.0000 0.0000 0.0000  6 O 2.05

Record 5
Entry from the Alexandria database: an optimized crystal structure of AuI2O2 (GGA-PBE).

Output
- D(E_F) (states/eV/cell) = 2.590

a b c (Å): 4.0554 4.0554 8.7775
angles (deg): 90.00 90.00 90.00
Closest atoms and distances in Å follow each position.
Element x y z (fractional)
Au: 0.5000 0.5000 0.5000  4 I 2.87
O: 0.0000 0.5000 0.0000  2 I 2.03
I: 0.0000 0.0000 0.0000  4 O 2.03
O: 0.5000 0.0000 0.0000  2 I 2.03
I: 0.0000 0.0000 0.5000  4 Au 2.87

Record 6
Entry from the Alexandria database: an optimized crystal structure of AuIO3 (GGA-PBE).

Output
- D(E_F) (states/eV/cell) = 4.016

a b c (Å): 4.1247 4.1247 4.1247
angles (deg): 90.00 90.00 90.00
Closest atoms and distances in Å follow each position.
Element x y z (fractional)
O: 0.0000 0.0000 0.5000  2 Au 2.06
O: 0.0000 0.5000 0.0000  2 Au 2.06
I: 0.5000 0.5000 0.5000  12 O 2.92
O: 0.5000 0.0000 0.0000  2 Au 2.06
Au: 0.0000 0.0000 0.0000  6 O 2.06

Record 7
Entry from the Alexandria database: an optimized crystal structure of AuI2O2 (GGA-PBE).

Output
- D(E_F) (states/eV/cell) = 12.851

a b c (Å): 5.6674 5.6674 3.8946
angles (deg): 90.00 90.00 90.00
Closest atoms and distances in Å follow each position.
Element x y z (fractional)
Au: 0.0000 0.0000 0.0000  2 O 1.95
O: 0.5000 0.5000 0.5000  8 I 3.44
O: 0.0000 0.0000 0.5000  2 Au 1.95
I: 0.0000 0.5000 0.0000  2 Au 2.83
I: 0.5000 0.0000 0.0000  2 Au 2.83

Record 8
Entry from the Alexandria database: an optimized crystal structure of AuI3O (GGA-PBE).

Output
- D(E_F) (states/eV/cell) = 2.017

a b c (Å): 5.0883 5.0883 5.0883
angles (deg): 90.00 90.00 90.00
Closest atoms and distances in Å follow each position.
Element x y z (fractional)
Au: 0.5000 0.5000 0.5000  12 I 3.60
I: 0.0000 0.5000 0.0000  2 O 2.54
I: 0.5000 0.0000 0.0000  2 O 2.54
O: 0.0000 0.0000 0.0000  6 I 2.54
I: 0.0000 0.0000 0.5000  2 O 2.54

Q: Which VASP energy values were calculated for the entries above? A: -6.334, -2.687, -4.077, -3.612, -3.158, -3.310, -2.296, -1.932, in eV/atom.
Q: Which calculated density values were calculated for the entries above? A: 7.835, 5.945, 7.653, 8.912, 5.553, 8.800, 6.408, 7.483, in g/cm³.